#i
Below is TlHg2Cl after structural relaxation, with properties calculated at the PBE level.

abc: 6.5425 6.5425 6.5425
angles: 45.41 45.41 45.41
Fractional coordinates of all 4 atoms:
Tl1 0.2500 0.2500 0.2500
Hg1 0.0008 0.0008 0.0008
Hg2 0.4992 0.4992 0.4992
Cl1 0.7500 0.7500 0.7500

Output
SG	R-3m

#ii
Below is TlHg2Cl after structural relaxation, with properties calculated at the PBE level.

abc: 4.1066 4.1043 7.7965
angles: 90.00 90.00 90.00
Fractional coordinates of all 4 atoms:
Tl1 0.0000 0.0000 0.5601
Hg1 0.0000 0.0000 0.0137
Hg2 0.5000 0.5000 0.2207
Cl1 0.5000 0.5000 0.7055

Output
SG	P4mm

#iii
Below is TlHg2Cl after structural relaxation, with properties calculated at the PBE level.

abc: 8.5688 8.5688 8.5688
angles: 31.28 31.28 31.28
Fractional coordinates of all 4 atoms:
Tl1 0.4874 0.4874 0.4874
Hg1 0.9967 0.9967 0.9967
Hg2 0.2506 0.2506 0.2506
Cl1 0.7653 0.7653 0.7653

Output
SG	R3m

#iv
Below is TlHg2Cl after structural relaxation, with properties calculated at the PBE level.

abc: 6.0094 6.0094 6.0094
angles: 133.79 122.72 76.55
Fractional coordinates of all 4 atoms:
Tl1 0.4709 0.4709 0.0000
Hg1 0.0102 0.0102 0.0000
Hg2 0.7459 0.2459 0.5000
Cl1 0.2730 0.7730 0.5000

Output
SG	Imm2

It is #ii that is the most stable of them.

#i
Below is Tl3Hg2Cl7 after structural relaxation, with properties calculated at the PBE level.

abc: 5.3474 5.5048 13.0271
angles: 102.20 90.00 90.00
Fractional coordinates of all 12 atoms:
Tl1 0.5000 0.5000 0.0000
Tl2 0.5000 0.6748 0.3496
Tl3 0.5000 0.3252 0.6504
Hg1 0.0000 0.8954 0.7908
Hg2 0.0000 0.1046 0.2092
Cl1 0.0000 0.4035 0.8070
Cl2 0.0000 0.7969 0.5938
Cl3 0.0000 0.0000 0.0000
Cl4 0.0000 0.5965 0.1930
Cl5 0.5000 0.0976 0.1952
Cl6 0.5000 0.9024 0.8048
Cl7 0.0000 0.2031 0.4062

Output
SG	Cmmm

#ii
Below is Tl3Hg2Cl7 after structural relaxation, with properties calculated at the PBE level.

abc: 5.4093 5.4093 13.4301
angles: 101.62 101.62 90.00
Fractional coordinates of all 12 atoms:
Tl1 0.3234 0.3234 0.6468
Tl2 0.6766 0.6766 0.3532
Tl3 0.5000 0.5000 0.0000
Hg1 0.1036 0.1036 0.2071
Hg2 0.8964 0.8964 0.7929
Cl1 0.0000 0.0000 0.0000
Cl2 0.9033 0.4033 0.8066
Cl3 0.4033 0.9033 0.8066
Cl4 0.0967 0.5967 0.1934
Cl5 0.5967 0.0967 0.1934
Cl6 0.2030 0.2030 0.4061
Cl7 0.7970 0.7970 0.5939

Output
SG	I4/mmm

It is #ii that is the most stable of them.

#i
Below is Tl3HgCl6 after structural relaxation, with properties calculated at the PBE level.

abc: 7.3675 9.6916 9.6916
angles: 102.21 90.00 90.00
Fractional coordinates of all 20 atoms:
Tl1 0.4727 0.9178 0.7140
Tl2 0.9727 0.7140 0.9178
Tl3 0.3851 0.4153 0.5847
Tl4 0.8851 0.5847 0.4153
Tl5 0.9727 0.0822 0.2860
Tl6 0.4727 0.2860 0.0822
Hg1 0.0201 0.2026 0.7974
Hg2 0.5201 0.7974 0.2026
Cl1 0.1756 0.6724 0.6099
Cl2 0.6756 0.6099 0.6724
Cl3 0.2197 0.4300 0.8719
Cl4 0.7197 0.8719 0.4300
Cl5 0.1528 0.0467 0.9533
Cl6 0.6914 0.2228 0.7772
Cl7 0.1914 0.7772 0.2228
Cl8 0.6528 0.9533 0.0467
Cl9 0.2197 0.1281 0.5700
Cl10 0.7197 0.5700 0.1281
Cl11 0.1756 0.3901 0.3276
Cl12 0.6756 0.3276 0.3901

Output
SG	Cmc2_1
DOS(E_F)	10.3	states/eV per cell

#ii
Below is Tl3HgCl6 after structural relaxation, with properties calculated at the PBE level.

abc: 7.6071 7.6590 7.5491
angles: 120.02 120.25 90.00
Fractional coordinates of all 10 atoms:
Tl1 0.7519 0.2762 0.5039
Tl2 0.2481 0.7238 0.4961
Tl3 0.0000 0.0000 0.0000
Hg1 0.5000 0.5000 0.0000
Cl1 0.3068 0.3067 0.1035
Cl2 0.2033 0.6933 0.8965
Cl3 0.6932 0.6933 0.8965
Cl4 0.7967 0.3067 0.1035
Cl5 0.2571 0.1660 0.5142
Cl6 0.7429 0.8340 0.4858

Output
SG	C2/m
DOS(E_F)	1.6	states/eV per cell

It is #ii that is the most stable of them.